Below is an optimized crystal structure of BaNa10Tl, with properties calculated at the PBE-GGA level.

Calculated values
E   -1.398 eV/atom
Total moment   0.00 μB/cell
DFT formation energy   59 meV per atom
Theoretical density   2003 kg/m³

a b c (Å): 5.9124 6.7719 11.8353
angles (deg): 90.00 90.00 90.00
Space group Pmmm (No. 47)
Symmetry-distinct sites (fractional):
1 Ba 0.0000 0.0000 0.0000 [1 per cell]
2 Na 0.0000 0.0000 0.3519 [2 per cell]
3 Na 0.0000 0.5000 0.2013 [2 per cell]
4 Na 0.5000 0.0000 0.5000 [1 per cell]
5 Na 0.5000 0.2502 0.2564 [4 per cell]
6 Na 0.5000 0.5000 0.0000 [1 per cell]
7 Tl 0.0000 0.5000 0.5000 [1 per cell]